(A)
KMoW2: optimized geometry, GGA-PBE.

abc: 3.157 4.596 10.652
angles: 90.00 90.00 90.00
Space group Cmmm (No. 65)
One atom of each set of equivalent atoms:
K 0.000 0.000 0.000 x2
Mo 0.000 0.000 0.500 x2
W 0.000 0.500 0.295 x4

Results
Calculated volume in Å³/atom: 19.315
Calculated density in Mg/m³: 10.8
Size of the total moment in μB per atom: 0.000

(B)
KMoW2: optimized geometry, GGA-PBE.

abc: 3.132 3.841 8.131
angles: 90.00 90.00 90.00
Space group Pmm2 (No. 25)
One atom of each set of equivalent atoms:
K 0.000 0.000 0.000 x1
Mo 0.500 0.500 0.357 x1
W 0.000 0.000 0.502 x1
W 0.500 0.500 0.643 x1

Results
Calculated volume in Å³/atom: 24.455
Calculated density in Mg/m³: 8.5
Size of the total moment in μB per atom: 0.000

(C)
KMoW2: optimized geometry, GGA-PBE.

abc: 3.092 3.092 9.379
angles: 90.00 90.00 90.00
Space group P4mm (No. 99)
One atom of each set of equivalent atoms:
K 0.000 0.000 0.000 x1
Mo 0.500 0.500 0.338 x1
W 0.000 0.000 0.502 x1
W 0.500 0.500 0.669 x1

Results
Calculated volume in Å³/atom: 22.418
Calculated density in Mg/m³: 9.3
Size of the total moment in μB per atom: 0.000

Q: Which of them is the least stable? A: (C).

(A)
KMoW2: optimized geometry, GGA-PBE.

abc: 3.075 3.075 9.375
angles: 90.00 90.00 90.00
Space group P4/mmm (No. 123)
One atom of each set of equivalent atoms:
K 0.000 0.000 0.000 x1
Mo 0.000 0.000 0.500 x1
W 0.500 0.500 0.334 x2

Results
Calculated volume in Å³/atom: 22.162
Calculated density in Mg/m³: 9.4
Size of the total moment in μB per atom: 0.001

(B)
KMoW2: optimized geometry, GGA-PBE.

abc: 3.181 4.600 10.622
angles: 90.00 90.00 90.00
Space group Cmm2 (No. 35)
One atom of each set of equivalent atoms:
K 0.000 0.000 0.000 x2
Mo 0.000 0.500 0.703 x2
W 0.000 0.000 0.500 x2
W 0.000 0.500 0.295 x2

Results
Calculated volume in Å³/atom: 19.427
Calculated density in Mg/m³: 10.7
Size of the total moment in μB per atom: 0.000

Q: Which of them is the least stable? A: (A).

(A)
KMoW2: optimized geometry, GGA-PBE.

abc: 2.856 5.352 10.468
angles: 90.00 90.00 90.00
Space group Immm (No. 71)
One atom of each set of equivalent atoms:
K 0.000 0.000 0.000 x2
Mo 0.000 0.000 0.500 x2
W 0.000 0.500 0.211 x4

Results
Calculated volume in Å³/atom: 20.002
Calculated density in Mg/m³: 10.4
Size of the total moment in μB per atom: 0.240

(B)
KMoW2: optimized geometry, GGA-PBE.

abc: 5.583 10.096 2.634
angles: 90.00 90.00 90.00
Space group Cmmm (No. 65)
One atom of each set of equivalent atoms:
K 0.000 0.000 0.000 x2
Mo 0.000 0.500 0.000 x2
W 0.250 0.250 0.500 x4

Results
Calculated volume in Å³/atom: 18.560
Calculated density in Mg/m³: 11.2
Size of the total moment in μB per atom: 0.128

(C)
KMoW2: optimized geometry, GGA-PBE.

abc: 2.687 5.170 5.332
angles: 90.00 90.00 90.00
Space group Pmmm (No. 47)
One atom of each set of equivalent atoms:
K 0.000 0.000 0.000 x1
Mo 0.500 0.500 0.000 x1
W 0.000 0.500 0.500 x1
W 0.500 0.000 0.500 x1

Results
Calculated volume in Å³/atom: 18.518
Calculated density in Mg/m³: 11.3
Size of the total moment in μB per atom: 0.000

Q: Which of them is the least stable? A: (C).

(A)
KMoW2: optimized geometry, GGA-PBE.

abc: 2.859 5.543 10.435
angles: 90.00 90.00 90.00
Space group Imm2 (No. 44)
One atom of each set of equivalent atoms:
K 0.000 0.000 0.000 x2
Mo 0.000 0.500 0.210 x2
W 0.000 0.000 0.502 x2
W 0.000 0.500 0.794 x2

Results
Calculated volume in Å³/atom: 20.667
Calculated density in Mg/m³: 10.1
Size of the total moment in μB per atom: 0.173

(B)
KMoW2: optimized geometry, GGA-PBE.

abc: 6.606 6.606 6.606
angles: 90.00 90.00 90.00
Space group F-43m (No. 216)
One atom of each set of equivalent atoms:
K 0.000 0.000 0.000 x4
Mo 0.250 0.250 0.250 x4
W 0.000 0.000 0.500 x4
W 0.250 0.250 0.750 x4

Results
Calculated volume in Å³/atom: 18.019
Calculated density in Mg/m³: 11.6
Size of the total moment in μB per atom: 0.000

(C)
KMoW2: optimized geometry, GGA-PBE.

abc: 2.799 4.359 7.794
angles: 90.00 94.91 90.00
Space group P2/m (No. 10)
One atom of each set of equivalent atoms:
K 0.000 0.000 0.000 x1
Mo 0.500 0.000 0.500 x1
W 0.173 0.500 0.647 x2

Results
Calculated volume in Å³/atom: 23.686
Calculated density in Mg/m³: 8.8
Size of the total moment in μB per atom: 0.000

Q: Which of them is the least stable? A: (B).

(A)
KMoW2: optimized geometry, GGA-PBE.

abc: 9.223 2.653 7.571
angles: 90.00 90.79 90.00
Space group Cm (No. 8)
One atom of each set of equivalent atoms:
K 0.000 0.000 0.000 x2
Mo 0.239 0.000 0.657 x2
W 0.258 0.500 0.342 x2
W 0.498 0.000 0.499 x2

Results
Calculated volume in Å³/atom: 23.158
Calculated density in Mg/m³: 9.0
Size of the total moment in μB per atom: 0.000

(B)
KMoW2: optimized geometry, GGA-PBE.

abc: 3.080 3.867 8.168
angles: 90.00 90.00 90.00
Space group Pmmm (No. 47)
One atom of each set of equivalent atoms:
K 0.000 0.000 0.000 x1
Mo 0.000 0.000 0.500 x1
W 0.500 0.500 0.356 x2

Results
Calculated volume in Å³/atom: 24.325
Calculated density in Mg/m³: 8.6
Size of the total moment in μB per atom: 0.000

Q: Which of them is the least stable? A: (A).

(A)
KMoW2: optimized geometry, GGA-PBE.

abc: 2.8035 2.8035 33.7316
angles: 90.00 90.00 120.00
Space group R-3m (No. 166, hexagonal axes)
One atom of each set of equivalent atoms:
K 0.0000 0.0000 0.0000 x3
Mo 0.0000 0.0000 0.5000 x3
W 0.0000 0.0000 0.2392 x6

Results
Calculated volume in Å³/atom: 19.133
Calculated density in Mg/m³: 10.9
Size of the total moment in μB per atom: 0.000

(B)
KMoW2: optimized geometry, GGA-PBE.

abc: 5.833 9.955 2.656
angles: 90.00 108.31 90.00
Space group C2/m (No. 12)
One atom of each set of equivalent atoms:
K 0.000 0.000 0.000 x2
Mo 0.000 0.500 0.000 x2
W 0.250 0.250 0.500 x4

Results
Calculated volume in Å³/atom: 18.302
Calculated density in Mg/m³: 11.4
Size of the total moment in μB per atom: 0.000

Q: Which of them is the least stable? A: (B).

(A)
K2MoW: optimized geometry, GGA-PBE.

abc: 5.473 12.554 2.790
angles: 90.00 112.32 90.00
Space group C2/m (No. 12)
One atom of each set of equivalent atoms:
K 0.250 0.250 0.000 x4
Mo 0.000 0.000 0.500 x2
W 0.000 0.500 0.500 x2

Results
Calculated volume in Å³/atom: 22.162
Calculated density in Mg/m³: 6.7
Size of the total moment in μB per atom: 0.000

(B)
K2MoW: optimized geometry, GGA-PBE.

abc: 12.876 12.876 4.583
angles: 90.00 90.00 90.00
Space group I-42d (No. 122)
One atom of each set of equivalent atoms:
K 0.078 0.750 0.125 x8
Mo 0.000 0.000 0.000 x4
W 0.000 0.000 0.500 x4

Results
Calculated volume in Å³/atom: 47.489
Calculated density in Mg/m³: 3.1
Size of the total moment in μB per atom: 0.007

(C)
K2MoW: optimized geometry, GGA-PBE.

abc: 2.8517 2.8517 37.6644
angles: 90.00 90.00 120.00
Space group R-3m (No. 166, hexagonal axes)
One atom of each set of equivalent atoms:
K 0.0000 0.0000 0.2502 x6
Mo 0.0000 0.0000 0.0000 x3
W 0.0000 0.0000 0.5000 x3

Results
Calculated volume in Å³/atom: 22.105
Calculated density in Mg/m³: 6.7
Size of the total moment in μB per atom: 0.051

(D)
K2MoW: optimized geometry, GGA-PBE.

abc: 3.367 3.367 10.962
angles: 90.00 90.00 90.00
Space group P4mm (No. 99)
One atom of each set of equivalent atoms:
K 0.000 0.000 0.000 x1
K 0.500 0.500 0.394 x1
Mo 0.000 0.000 0.651 x1
W 0.500 0.500 0.743 x1

Results
Calculated volume in Å³/atom: 31.059
Calculated density in Mg/m³: 4.8
Size of the total moment in μB per atom: 0.000

Q: Which of them is the least stable? A: (B).

(A)
KMoW: optimized geometry, GGA-PBE.

abc: 6.830 6.830 6.830
angles: 90.00 90.00 90.00
Space group F-43m (No. 216)
One atom of each set of equivalent atoms:
K 0.000 0.000 0.000 x4
Mo 0.250 0.250 0.250 x4
W 0.250 0.250 0.750 x4

Results
Calculated volume in Å³/atom: 26.549
Calculated density in Mg/m³: 6.6
Size of the total moment in μB per atom: 0.052

(B)
KMoW: optimized geometry, GGA-PBE.

abc: 3.180 4.843 16.496
angles: 90.00 90.00 90.00
Space group Fmm2 (No. 42)
One atom of each set of equivalent atoms:
K 0.000 0.000 0.000 x4
Mo 0.000 0.000 0.691 x4
W 0.000 0.000 0.310 x4

Results
Calculated volume in Å³/atom: 21.168
Calculated density in Mg/m³: 8.3
Size of the total moment in μB per atom: 0.000

Q: Which of them is the least stable? A: (A).